The following is a DFT calculation (PBE) of a geometry-optimized CeHo2Ag3 structure.

a b c (Å): 3.604 3.604 11.275
angles (deg): 90.00 90.00 90.00
Fractional positions:
1 Ce 0.000 0.000 0.000
2 Ho 0.000 0.000 0.338
3 Ho 0.000 0.000 0.662
4 Ag 0.500 0.500 0.184
5 Ag 0.500 0.500 0.500
6 Ag 0.500 0.500 0.816

Summary:
Symmetry: P4/mmm



The following is a DFT calculation (PBE) of a geometry-optimized CeHo2Ag structure.

a b c (Å): 5.399 5.399 3.561
angles (deg): 90.00 90.00 90.00
Fractional positions:
1 Ce 0.000 0.000 0.000
2 Ho 0.000 0.500 0.500
3 Ho 0.500 0.000 0.500
4 Ag 0.500 0.500 0.000

Summary:
Energy above the lowest structure with this stoichiometry, eV per atom: 0.120
Symmetry: P4/mmm



The following is a DFT calculation (PBE) of a geometry-optimized Ce2HoAg structure.

a b c (Å): 5.633 5.633 3.477
angles (deg): 90.00 90.00 90.00
Fractional positions:
1 Ce 0.000 0.500 0.000
2 Ce 0.500 0.000 0.000
3 Ho 0.000 0.000 0.500
4 Ag 0.500 0.500 0.500

Summary:
Energy above the lowest structure with this stoichiometry, eV per atom: 0.054
Symmetry: P4/mmm



no.,energy relative to the elements (eV per atom)
1,-0.238
2,0.024
3,0.113